A relaxed Tb2WO6 crystal. Source: Alexandria, functional PBEsol.

The structure in extended XYZ format:
```
72
Lattice="-1.9548 4.6075 2.3423 -9.6989 -4.1987 0.1651 2.8710 -6.0685 14.3336" Properties=species:S:1:pos:R:3 pbc="T T T"
O -7.2190 -1.9108 9.7723
O -4.9579 -3.0158 12.5665
O -1.5245 -3.1139 13.4706
O -0.7214 -4.0649 9.7044
O -6.3411 -5.2999 13.9623
O -5.2174 -0.7961 2.5795
O 1.0149 -2.9751 14.6862
O -5.6331 -0.3391 7.8522
O -6.9607 -4.5259 8.6134
O -8.0613 -1.5948 7.1365
O -2.0921 -1.9314 10.8823
O -0.1734 -5.2559 12.2931
O -9.7976 -2.6847 2.1547
O -0.8060 -5.1855 15.0476
O -1.5637 -3.7489 7.0686
O -1.0642 -2.5705 16.2065
O -7.9767 -0.4742 1.7933
O -3.9491 -2.6968 7.0594
O -3.1496 -5.3206 8.9887
O -1.1611 1.2360 5.3836
O -1.6043 3.4949 3.6726
O -6.6906 -3.7283 5.9587
O -2.6872 -4.9757 11.7983
O -1.9766 -6.9970 13.5826
O -3.8247 -2.6439 4.2744
O -5.4747 -6.4004 10.1201
O -9.2462 -4.6301 6.7591
O -1.8219 -1.1339 8.2275
O -7.1784 -9.1546 13.1683
O -7.6215 -6.8958 11.4573
O -2.4415 -0.3599 2.8786
O -6.8061 1.3373 3.2583
O -3.3080 0.7406 6.7208
O -6.8257 -4.2583 11.2976
O -0.9577 1.3251 8.1630
O -6.0954 -0.6840 5.0426
O -7.7184 -3.0893 0.6344
O 0.4635 -1.0296 10.0818
O -3.5653 -4.8636 14.2614
O -0.0237 -1.0957 12.9075
O -7.8250 -6.9848 8.6779
O -1.9570 -1.4014 5.5433
O -3.8122 1.7737 4.0565
O -4.9705 -7.4334 12.7844
O -7.2582 -2.5458 3.3703
O -8.6092 -0.4038 4.5478
O -4.8335 -2.9629 9.7815
O -8.7590 -4.5640 3.9334
Tb -8.6053 -2.6879 5.2838
Tb -5.5747 -4.1028 4.0777
Tb -2.6506 -3.0766 9.0439
Tb -1.5121 0.1432 10.1791
Tb -0.8332 -1.7752 3.4561
Tb -5.2797 -4.2428 15.6626
Tb -6.1320 -2.5832 7.7970
Tb -2.3644 1.8029 2.3135
Tb -3.5030 -1.4169 1.1783
Tb -7.2706 -5.8030 6.6619
Tb -3.8638 -0.3603 4.6622
Tb -0.1773 -2.9718 11.5571
Tb -4.9188 -5.2994 12.1787
Tb -7.9495 -3.8845 13.3848
Tb -6.4183 -7.4626 14.5274
Tb -3.2080 -1.5569 12.7632
W -8.3987 -3.9178 2.1454
W -1.2763 0.0119 6.8778
W -5.9719 -2.2804 11.0915
W -6.8642 -0.5266 3.2738
W -7.5064 -5.6716 9.9631
W -1.9185 -5.1331 13.5672
W -2.8108 -3.3793 5.7494
W -0.3840 -1.7419 14.6956
```

Crystal system = orthorhombic
Energy relative to the elements, uncorrected = -3.0837 eV/atom
D(E_F) = 0.000 states/eV/atom
Distance to the lowest polymorph of the same formula = 7 meV/atom